Record 1
DFT (PBE) results for crystalline Zr2Cd2Se at its relaxed geometry.

## Properties
Formation energy (no corrections), eV/atom: -0.437

a b c (Å): 6.980 6.980 4.762
angles (deg): 90.00 90.00 90.00
Space group P4/mbm (No. 127)
Asymmetric unit:
Zr  0.159  0.341  0.000 x4
Cd  0.147  0.647  0.500 x4
Se  0.000  0.000  0.000 x2

Record 2
DFT (PBE) results for crystalline Ir2PdRuF at its relaxed geometry.

## Properties
Formation energy (no corrections), eV/atom: 1.450

a b c (Å): 4.874 4.874 3.759
angles (deg): 90.00 90.00 90.00
Space group P4/mmm (No. 123)
Asymmetric unit:
Ir  0.000  0.500  0.000 x2
Pd  0.000  0.000  0.000 x1
Ru  0.500  0.500  0.500 x1
F  0.000  0.000  0.500 x1